Computed, not measured: an optimized crystal structure of FeOsAu3 at the PBE-GGA level of DFT.

Cell lengths 5.014, 5.014, 5.014 Å; angles 90.00, 90.00, 90.00 degrees
Fractional coordinates of all 5 atoms:
Fe1 0.000 0.000 0.000
Os1 0.500 0.500 0.500
Au1 0.000 0.500 0.500
Au2 0.500 0.000 0.500
Au3 0.500 0.500 0.000

Output
Density   11.03 g cm⁻³
Formation energy   1626 meV/atom